VASP calculation (PBE-GGA) on a geometry-optimized SiPRu structure.

Lattice parameters (Å, degrees): 6.6624 6.6624 3.3239 90.00 90.00 120.00
With the nearest neighbours (Å) after each atom.
Positions (direct):
Si: 0.0000 0.0000 0.0000  6 Ru 2.40, 3 P 2.46
Si: 0.3333 0.6667 0.5000  3 Ru 2.50, 6 P 2.69
Si: 0.6667 0.3333 0.5000  3 Ru 2.50, 6 P 2.69
P: 0.0000 0.6312 0.0000  5 Si 2.46-2.69, 4 Ru 2.75
P: 0.3688 0.3688 0.0000  5 Si 2.46-2.69, 4 Ru 2.75
P: 0.6312 0.0000 0.0000  5 Si 2.46-2.69, 4 Ru 2.75
Ru: 0.0000 0.2600 0.5000  4 Si 2.40-2.50
Ru: 0.2600 0.0000 0.5000  4 Si 2.40-2.50
Ru: 0.7400 0.7400 0.5000  4 Si 2.40-2.50

Values from the calculation:
E_tot (eV per atom): -6.614
Space-group type: P-62m
Spin magnetization (μB/f.u.): 0.00
D(E_F) (states/eV/f.u.): 1.90


VASP calculation (PBE-GGA) on a geometry-optimized MnCo2Ru structure.

Lattice parameters (Å, degrees): 4.4275 4.4275 4.4275 132.33 132.33 69.71
With the nearest neighbours (Å) after each atom.
Positions (direct):
Mn: 0.0000 0.0000 0.0000  4 Ru 2.53, 8 Co 2.55
Co: 0.2500 0.7500 0.5000  4 Co 2.53, 4 Ru 2.55, 4 Mn 2.55
Co: 0.7500 0.2500 0.5000  4 Co 2.53, 4 Ru 2.55, 4 Mn 2.55
Ru: 0.5000 0.5000 0.0000  4 Mn 2.53, 8 Co 2.55

Values from the calculation:
ΔE_f (kJ/mol of atoms): 8
Space-group type: I4/mmm
Spin magnetization (μB/f.u.): 1.69
D(E_F) (states/eV/f.u.): 5.74


VASP calculation (PBE-GGA) on a geometry-optimized CsU2MnS8 structure.

Lattice parameters (Å, degrees): 6.4676 6.6615 8.2955 89.85 89.85 79.20
With the nearest neighbours (Å) after each atom.
Positions (direct):
Cs: 0.0000 0.0000 0.0000  6 S 3.15-3.53
U: 0.5001 0.5003 0.2568  6 S 2.52-2.63
U: 0.4999 0.4997 0.7432  6 S 2.52-2.63
Mn: 0.0000 0.0000 0.5000  4 S 2.29
S: 0.2148 0.8028 0.6815  1 Mn 2.29, 1 U 2.52
S: 0.2171 0.8051 0.3185  1 Mn 2.29, 1 U 2.52
S: 0.3273 0.3525 0.4998  2 U 2.58-2.59
S: 0.3320 0.3638 0.0008  2 U 2.63
S: 0.6680 0.6362 0.9992  2 U 2.63
S: 0.6727 0.6475 0.5002  2 U 2.58-2.59
S: 0.7829 0.1949 0.6815  1 Mn 2.29, 1 U 2.52
S: 0.7852 0.1972 0.3185  1 Mn 2.29, 1 U 2.52

Values from the calculation:
E_tot (eV per atom): -6.310
Space-group type: P-1
Spin magnetization (μB/f.u.): 4.02
D(E_F) (states/eV/f.u.): 1.06


VASP calculation (PBE-GGA) on a geometry-optimized GdPaPdAu structure.

Lattice parameters (Å, degrees): 5.0650 5.0650 5.0650 60.00 60.00 60.00
With the nearest neighbours (Å) after each atom.
Positions (direct):
Gd: 0.0000 0.0000 0.0000  4 Au 3.10, 4 Pd 3.10
Pa: 0.5000 0.5000 0.5000  4 Pd 3.10, 4 Au 3.10
Pd: 0.2500 0.2500 0.2500  4 Gd 3.10, 4 Pa 3.10
Au: 0.7500 0.7500 0.7500  4 Gd 3.10, 4 Pa 3.10

Values from the calculation:
ΔE_f (kJ/mol of atoms): -46
Space-group type: F-43m
Spin magnetization (μB/f.u.): 8.37
D(E_F) (states/eV/f.u.): 6.10


VASP calculation (PBE-GGA) on a geometry-optimized CdSeBr2Cl structure.

Lattice parameters (Å, degrees): 5.1939 5.1939 5.3640 90.00 90.00 90.00
With the nearest neighbours (Å) after each atom.
Positions (direct):
Cd: 0.0000 0.0000 0.0000  4 Se 3.67, 8 Br 3.73
Se: 0.5000 0.5000 0.0000  2 Cl 2.68
Br: 0.0000 0.5000 0.5000  2 Cl 2.60
Br: 0.5000 0.0000 0.5000  2 Cl 2.60
Cl: 0.5000 0.5000 0.5000  4 Br 2.60, 2 Se 2.68

Values from the calculation:
E_tot (eV per atom): -1.494
Space-group type: P4/mmm
Spin magnetization (μB/f.u.): 0.38
D(E_F) (states/eV/f.u.): 2.03


VASP calculation (PBE-GGA) on a geometry-optimized Sr3HfP3 structure.

Lattice parameters (Å, degrees): 9.9845 9.9845 12.4582 90.00 90.00 40.55
With the nearest neighbours (Å) after each atom.
Positions (direct):
Sr: 0.0155 0.3384 0.8644  5 P 3.08-3.44, 1 Hf 3.35
Sr: 0.1516 0.8484 0.8403  5 P 3.04-3.34
Sr: 0.1616 0.4845 0.6356  5 P 3.08-3.44, 1 Hf 3.35
Sr: 0.3384 0.0155 0.1356  5 P 3.08-3.44, 1 Hf 3.35
Sr: 0.3484 0.6516 0.3403  5 P 3.04-3.34
Sr: 0.4845 0.1616 0.3644  5 P 3.08-3.44, 1 Hf 3.35
Sr: 0.5155 0.8384 0.6356  5 P 3.08-3.44, 1 Hf 3.35
Sr: 0.6516 0.3484 0.6597  5 P 3.04-3.34
Sr: 0.6616 0.9845 0.8644  5 P 3.08-3.44, 1 Hf 3.35
Sr: 0.8384 0.5155 0.3644  5 P 3.08-3.44, 1 Hf 3.35
Sr: 0.8484 0.1516 0.1597  5 P 3.04-3.34
Sr: 0.9845 0.6616 0.1356  5 P 3.08-3.44, 1 Hf 3.35
Hf: 0.0866 0.0866 0.5000  4 P 2.51-2.56
Hf: 0.4134 0.4134 0.0000  4 P 2.51-2.56
Hf: 0.5866 0.5866 0.0000  4 P 2.51-2.56
Hf: 0.9134 0.9134 0.5000  4 P 2.51-2.56
P: 0.0530 0.6267 0.3801  1 Hf 2.51
P: 0.1267 0.5530 0.8801  1 Hf 2.51
P: 0.2230 0.7770 0.5996  2 Hf 2.56
P: 0.2770 0.7230 0.0996  2 Hf 2.56
P: 0.3733 0.9470 0.3801  1 Hf 2.51
P: 0.4470 0.8733 0.8801  1 Hf 2.51
P: 0.5530 0.1267 0.1199  1 Hf 2.51
P: 0.6267 0.0530 0.6199  1 Hf 2.51
P: 0.7230 0.2770 0.9004  2 Hf 2.56
P: 0.7770 0.2230 0.4004  2 Hf 2.56
P: 0.8733 0.4470 0.1199  1 Hf 2.51
P: 0.9470 0.3733 0.6199  1 Hf 2.51

Values from the calculation:
ΔE_f (kJ/mol of atoms): -100
Space-group type: Cmce
Spin magnetization (μB/f.u.): 0.00
D(E_F) (states/eV/f.u.): 1.95


VASP calculation (PBE-GGA) on a geometry-optimized SnBO2F structure.

Lattice parameters (Å, degrees): 3.4555 3.4555 4.1061 90.00 90.00 90.00
With the nearest neighbours (Å) after each atom.
Positions (direct):
Sn: 0.0000 0.0000 0.0000  4 F 2.44, 8 O 2.68
B: 0.5000 0.5000 0.5000  4 O 1.73
O: 0.0000 0.5000 0.5000  2 B 1.73
O: 0.5000 0.0000 0.5000  2 B 1.73
F: 0.5000 0.5000 0.0000  2 B 2.05

Values from the calculation:
E_tot (eV per atom): -5.428
Space-group type: P4/mmm
Spin magnetization (μB/f.u.): 0.00
D(E_F) (states/eV/f.u.): 0.22


VASP calculation (PBE-GGA) on a geometry-optimized AcIn2GaAu2 structure.

Lattice parameters (Å, degrees): 6.9478 6.9478 6.9478 133.93 133.93 67.20
With the nearest neighbours (Å) after each atom.
Positions (direct):
Ac: 0.0000 0.0000 0.0000  2 Au 3.32
In: 0.2500 0.7500 0.5000  4 Au 2.75
In: 0.7500 0.2500 0.5000  4 Au 2.75
Ga: 0.5000 0.5000 0.0000  2 Au 2.47
Au: 0.2866 0.2866 0.0000  1 Ga 2.47, 4 In 2.75
Au: 0.7134 0.7134 0.0000  1 Ga 2.47, 4 In 2.75

Values from the calculation:
ΔE_f (kJ/mol of atoms): -19
Space-group type: I4/mmm
Spin magnetization (μB/f.u.): 0.00
D(E_F) (states/eV/f.u.): 3.95